Entry from Alexandria via LeMat-Bulk: LaMg2FeSb at its PBEsol-relaxed geometry (SCAN).

Cell: 4.7724 5.3208 5.3208 Å, 90.00 90.00 90.00°
Site moments in Bohr magnetons follow the coordinates.
Atoms (fractional coordinates):
Sb 0.0000 0.0000 0.0000  -0.05
Mg 0.0000 0.0000 0.5000  0.00
Mg 0.0000 0.5000 0.0000  0.00
Fe 0.5000 0.0000 0.0000  2.60
La 0.5000 0.5000 0.5000  -0.14

Spin magnetization in Bohr magnetons per cell: 2.056
Uncorrected formation energy in eV/atom: 0.390
V in Å³/atom: 27.02



Entry from Alexandria via LeMat-Bulk: LaFe2Mo at its PBEsol-relaxed geometry (SCAN).

Cell: 3.0624 4.2826 5.1273 Å, 90.00 107.39 90.00°
Site moments in Bohr magnetons follow the coordinates.
Atoms (fractional coordinates):
Fe 0.7815 0.0000 0.9374  -2.06
Fe 0.9309 0.5000 0.2366  1.62
La 0.5336 0.0000 0.4431  0.05
Mo 0.2541 0.5000 0.8830  0.01

Spin magnetization in Bohr magnetons per cell: 0.311
Formation energy from the elements in eV per atom: 0.624
V in Å³/atom: 16.04



Entry from Alexandria via LeMat-Bulk: LaScFe2N at its PBEsol-relaxed geometry (SCAN).

Cell: 4.2133 4.7539 4.7539 Å, 90.00 90.00 90.00°
Site moments in Bohr magnetons follow the coordinates.
Atoms (fractional coordinates):
Sc 0.5000 0.5000 0.5000  -0.33
N 0.5000 0.0000 0.0000  0.20
Fe 0.0000 0.0000 0.5000  2.35
Fe 0.0000 0.5000 0.0000  2.35
La 0.0000 0.0000 0.0000  -0.13

Spin magnetization in Bohr magnetons per cell: 4.280
Uncorrected formation energy in eV/atom: 1.243
V in Å³/atom: 19.04



Entry from Alexandria via LeMat-Bulk: LaFeTeN2 at its PBEsol-relaxed geometry (SCAN).

Cell: 4.1335 4.1335 4.8872 Å, 90.00 90.00 90.00°
Site moments in Bohr magnetons follow the coordinates.
Atoms (fractional coordinates):
N 0.0000 0.5000 0.0000  0.55
N 0.5000 0.0000 0.0000  0.55
Te 0.0000 0.0000 0.5000  0.04
Fe 0.0000 0.0000 0.0000  2.69
La 0.5000 0.5000 0.5000  -0.01

Spin magnetization in Bohr magnetons per cell: 4.224
Uncorrected formation energy in eV/atom: 0.227
V in Å³/atom: 16.70



Entry from Alexandria via LeMat-Bulk: LaFe2Ni at its PBEsol-relaxed geometry (SCAN).

Cell: 3.7977 3.7977 4.2024 Å, 90.00 90.00 90.00°
Site moments in Bohr magnetons follow the coordinates.
Atoms (fractional coordinates):
Fe 0.0000 0.5000 0.0000  2.54
Fe 0.5000 0.0000 0.0000  2.54
La 0.5000 0.5000 0.5000  -0.23
Ni 0.0000 0.0000 0.5000  -0.06

Spin magnetization in Bohr magnetons per cell: 4.543
Formation energy from the elements in eV per atom: 0.402
V in Å³/atom: 15.15



Entry from Alexandria via LeMat-Bulk: LaFe2Ni at its PBEsol-relaxed geometry (SCAN).

Cell: 3.7874 3.7874 5.0839 Å, 111.87 111.87 90.00°
Site moments in Bohr magnetons follow the coordinates.
Atoms (fractional coordinates):
Fe 0.7500 0.2500 0.5000  2.74
Fe 0.2500 0.7500 0.5000  2.74
La 0.5000 0.5000 0.0000  -0.20
Ni 0.0000 0.0000 0.0000  0.17

Spin magnetization in Bohr magnetons per cell: 5.229
Formation energy from the elements in eV per atom: 0.336
V in Å³/atom: 15.50



Entry from Alexandria via LeMat-Bulk: LaFeNi2 at its PBEsol-relaxed geometry (SCAN).

Cell: 3.8692 3.8847 4.8581 Å, 113.57 113.47 90.00°
Site moments in Bohr magnetons follow the coordinates.
Atoms (fractional coordinates):
Fe 0.4995 0.4995 0.9990  2.91
La 0.2501 0.7501 0.5002  -0.08
Ni 0.0005 0.0005 0.0011  0.25
Ni 0.7499 0.2499 0.4997  0.16

Spin magnetization in Bohr magnetons per cell: 3.109
Formation energy from the elements in eV per atom: 0.225
V in Å³/atom: 15.07



Entry from Alexandria via LeMat-Bulk: LaFe2Ni at its PBEsol-relaxed geometry (SCAN).

Cell: 4.0032 4.0032 5.3876 Å, 68.19 68.19 60.00°
Site moments in Bohr magnetons follow the coordinates.
Atoms (fractional coordinates):
Fe 0.9975 0.9975 0.0074  2.43
Fe 0.3132 0.3132 0.0603  2.19
La 0.5008 0.5008 0.4975  -0.32
Ni 0.6928 0.6928 0.9217  0.62

Spin magnetization in Bohr magnetons per cell: 4.406
Formation energy from the elements in eV per atom: 0.074
V in Å³/atom: 16.89